Cd4Pb: relaxed, PBE-GGA.

It has space group Im-3m (No. 229), with a = 7.003 Å, b = 7.003 Å, c = 7.003 Å, α = 90.00°, β = 90.00° and γ = 90.00°. The distinct sites, in fractional coordinates, are Cd at (0.250, 0.250, 0.250) and Pb at (0.000, 0.000, 0.000).

The formation energy comes out at 298.6 meV/atom. For the polymorph energy (0 for the lowest one), the calculation gives 1.312 eV per formula unit. As for the crystal system: cubic. As for the calculated density: 6351 kg/m3. As for the density of states at the Fermi level: 0.601 states/eV per atom.

---

CdPb: relaxed, PBE-GGA.

It has space group Pmmn (No. 59, origin choice 2), with a = 3.510 Å, b = 5.584 Å, c = 5.719 Å, α = 90.00°, β = 90.00° and γ = 90.00°. The distinct sites, in fractional coordinates, are Cd at (0.250, 0.250, 0.075) and Pb at (0.250, 0.750, 0.408).

The formation energy comes out at 61.0 meV/atom. As for the crystal system: orthorhombic. As for the calculated density: 9469 kg/m3. As for the density of states at the Fermi level: 0.387 states/eV per atom.

---

CdPb3: relaxed, PBE-GGA.

It has space group Pmm2 (No. 25), with a = 3.378 Å, b = 3.502 Å, c = 10.384 Å, α = 90.00°, β = 90.00° and γ = 90.00°. The distinct sites, in fractional coordinates, are Cd at (0.000, 0.000, 0.000), Pb at (0.000, 0.500, 0.256), Pb at (0.500, 0.000, 0.502) and Pb at (0.500, 0.500, 0.785).

The formation energy comes out at 68.7 meV/atom. As for the crystal system: orthorhombic. As for the calculated density: 9923 kg/m3. As for the density of states at the Fermi level: 0.458 states/eV per atom.

---

CdPb: relaxed, PBE-GGA.

It has space group Pm-3n (No. 223), with a = 8.330 Å, b = 8.330 Å, c = 8.330 Å, α = 90.00°, β = 90.00° and γ = 90.00°. The distinct sites, in fractional coordinates, are Cd at (0.000, 0.250, 0.500) and Pb at (0.000, 0.500, 0.250).

The formation energy comes out at 445.8 meV/atom. As for the crystal system: cubic. As for the calculated density: 5509 kg/m3. As for the density of states at the Fermi level: 0.502 states/eV per atom.

---

Cd4Pb: relaxed, PBE-GGA.

It has space group I4/mmm (No. 139), with a = 4.276 Å, b = 4.276 Å, c = 14.180 Å, α = 90.00°, β = 90.00° and γ = 90.00°. The distinct sites, in fractional coordinates, are Cd at (0.000, 0.000, 0.101), Cd at (0.000, 0.500, 0.250) and Pb at (0.000, 0.000, 0.500).

The formation energy comes out at 70.2 meV/atom. For the polymorph energy (0 for the lowest one), the calculation gives 0.171 eV per formula unit. As for the crystal system: tetragonal. As for the calculated density: 8412 kg/m3. As for the density of states at the Fermi level: 0.525 states/eV per atom.

---

Cd5Pb: relaxed, PBE-GGA.

It has space group P-62m (No. 189), with a = 5.6978 Å, b = 5.6978 Å, c = 5.2636 Å, α = 90.00°, β = 90.00° and γ = 120.00°. The distinct sites, in fractional coordinates, are Cd at (0.0000, 0.6388, 0.0000), Cd at (0.3333, 0.6667, 0.5000) and Pb at (0.0000, 0.0000, 0.5000).

The formation energy comes out at 40.5 meV/atom. For the polymorph energy (0 for the lowest one), the calculation gives 0.062 eV per formula unit. As for the crystal system: hexagonal. As for the calculated density: 8632 kg/m3. As for the density of states at the Fermi level: 0.349 states/eV per atom.

---

Which of these has the lowest calculated density?
number 4